Here is a geometry-optimized Fe2Tc structure from OQMD. Energies are from PBE.

The total energy is -0.4492 Ry per atom. The calculation puts the formation energy at 2.881 eV/atom. The energy above the most stable polymorph in this dataset comes out at 2870.0 meV per atom.

It has space group Fd-3m (No. 227, origin choice 2), with a = 10.3916 Å, b = 10.3916 Å, c = 10.3916 Å, α = 90.00°, β = 90.00° and γ = 90.00°. The asymmetric unit holds Fe at (0.0000, 0.0000, 0.0000) and Tc at (0.1250, 0.1250, 0.1250).